No. 1
RbHfAgO3: relaxed, PBE.

Cell lengths 10.189, 3.243, 12.702 Å; angles 90.00, 90.00, 90.00 degrees
Fractional positions:
Rb1 0.123 0.500 0.747
Rb2 0.377 0.500 0.247
Rb3 0.877 0.000 0.253
Rb4 0.623 0.000 0.753
O1 0.213 0.500 0.415
O2 0.787 0.000 0.585
O3 0.942 0.500 0.071
O4 0.199 0.000 0.114
O5 0.287 0.500 0.915
O6 0.699 0.500 0.386
O7 0.442 0.000 0.429
O8 0.713 0.000 0.085
O9 0.301 0.000 0.614
O10 0.801 0.500 0.886
O11 0.558 0.500 0.571
O12 0.058 0.000 0.929
Ag1 0.409 0.000 0.964
Ag2 0.591 0.500 0.036
Ag3 0.091 0.000 0.464
Ag4 0.909 0.500 0.536
Hf1 0.139 0.500 0.027
Hf2 0.861 0.000 0.973
Hf3 0.639 0.000 0.473
Hf4 0.361 0.500 0.527

## Properties
**Total moment**: 0.0 μB/f.u.
**Calculated density**: 6.64 g cm⁻³
**Total energy**: -6.85 eV per atom
**Symmetry**: Pnma, No. 62

No. 2
Lu3C4: relaxed, PBE.

Cell lengths 7.855, 7.855, 15.654 Å; angles 90.00, 90.00, 90.00 degrees
Fractional positions:
Lu1 0.399 0.788 0.645
Lu2 0.101 0.288 0.855
Lu3 0.601 0.212 0.355
Lu4 0.288 0.899 0.855
Lu5 0.298 0.096 0.500
Lu6 0.798 0.404 0.000
Lu7 0.904 0.298 0.500
Lu8 0.000 0.000 0.313
Lu9 0.596 0.798 0.000
Lu10 0.500 0.500 0.813
Lu11 0.899 0.712 0.855
Lu12 0.712 0.101 0.855
Lu13 0.212 0.399 0.645
Lu14 0.788 0.601 0.355
Lu15 0.404 0.202 0.000
Lu16 0.712 0.101 0.145
Lu17 0.702 0.904 0.500
Lu18 0.096 0.702 0.500
Lu19 0.399 0.788 0.355
Lu20 0.500 0.500 0.500
Lu21 0.500 0.500 0.187
Lu22 0.000 0.000 0.000
Lu23 0.000 0.000 0.687
Lu24 0.601 0.212 0.645
Lu25 0.788 0.601 0.645
Lu26 0.899 0.712 0.145
Lu27 0.288 0.899 0.145
Lu28 0.202 0.596 0.000
Lu29 0.101 0.288 0.145
Lu30 0.212 0.399 0.355
C1 0.500 0.500 0.958
C2 0.807 0.403 0.171
C3 0.893 0.696 0.000
C4 0.850 0.350 0.250
C5 0.850 0.350 0.750
C6 0.500 0.500 0.042
C7 0.350 0.150 0.250
C8 0.403 0.193 0.171
C9 0.196 0.393 0.500
C10 0.650 0.850 0.250
C11 0.000 0.000 0.157
C12 0.193 0.597 0.171
C13 0.650 0.850 0.750
C14 0.150 0.650 0.250
C15 0.350 0.150 0.750
C16 0.403 0.193 0.829
C17 0.607 0.196 0.500
C18 0.307 0.097 0.329
C19 0.000 0.000 0.542
C20 0.304 0.893 0.000
C21 0.150 0.650 0.750
C22 0.097 0.693 0.671
C23 0.193 0.597 0.829
C24 0.097 0.693 0.329
C25 0.807 0.403 0.829
C26 0.000 0.000 0.458
C27 0.804 0.607 0.500
C28 0.307 0.097 0.671
C29 0.500 0.500 0.657
C30 0.000 0.000 0.843
C31 0.693 0.903 0.329
C32 0.903 0.307 0.671
C33 0.597 0.807 0.171
C34 0.107 0.304 0.000
C35 0.903 0.307 0.329
C36 0.696 0.107 0.000
C37 0.393 0.804 0.500
C38 0.500 0.500 0.343
C39 0.693 0.903 0.671
C40 0.597 0.807 0.829

## Properties
**Total moment**: 0.0 μB/f.u.
**Calculated density**: 9.85 g cm⁻³
**Total energy**: -7.59 eV per atom
**Symmetry**: P4/mnc, No. 128

No. 3
Hf3TlN5: relaxed, PBE.

Cell lengths 5.542, 5.542, 5.189 Å; angles 90.00, 90.00, 120.00 degrees
Fractional positions:
N1 0.667 0.333 0.240
N2 0.000 0.000 0.500
N3 0.333 0.667 0.760
N4 0.333 0.667 0.240
N5 0.667 0.333 0.760
Tl1 0.000 0.000 0.000
Hf1 0.500 0.500 0.500
Hf2 0.000 0.500 0.500
Hf3 0.500 0.000 0.500

## Properties
**Total moment**: 0.1 μB/f.u.
**Calculated density**: 9.75 g cm⁻³
**Total energy**: -8.09 eV per atom
**Symmetry**: P6/mmm, No. 191

No. 4
AcAlMo: relaxed, PBE.

Cell lengths 4.946, 4.946, 4.946 Å; angles 60.00, 60.00, 60.00 degrees
Fractional positions:
Mo1 0.750 0.750 0.750
Ac1 0.000 0.000 0.000
Al1 0.250 0.250 0.250

## Properties
**Total moment**: 2.9 μB/f.u.
**Calculated density**: 6.79 g cm⁻³
**Total energy**: -4.76 eV per atom
**Symmetry**: F-43m, No. 216

What did the fourth record say?
AcAlMo: relaxed, PBE.

Cell lengths 4.946, 4.946, 4.946 Å; angles 60.00, 60.00, 60.00 degrees
Fractional positions:
Mo1 0.750 0.750 0.750
Ac1 0.000 0.000 0.000
Al1 0.250 0.250 0.250

## Properties
**Total moment**: 2.9 μB/f.u.
**Calculated density**: 6.79 g cm⁻³
**Total energy**: -4.76 eV per atom
**Symmetry**: F-43m, No. 216

Which formula does entry 2 have? Lu3C4

The highest total energy belongs to which entry? AcAlMo